# 1
The following is a DFT calculation (GGA-PBE) of a relaxed structure of U2Ni4As3Pd.

For the calculated volume, the calculation gives 160 Å³/cell. The total energy is -0.5109 Ry/atom. Its density of states at the Fermi level is 16.4 states/eV/f.u. The value obtained for the energy of formation from the pure elements is -466 meV/atom.

The structure belongs to space group P-4m2 (No. 115); the cell edges are 3.939, 3.939 and 10.311 Å and the angles 90.00°, 90.00° and 90.00°. The distinct sites, in fractional coordinates, are U at (0.000, 0.500, 0.249), Ni at (0.000, 0.000, 0.000), Ni at (0.000, 0.500, 0.652), Ni at (0.500, 0.500, 0.000), As at (0.000, 0.500, 0.872), As at (0.500, 0.500, 0.500) and Pd at (0.000, 0.000, 0.500).


# 2
The following is a DFT calculation (GGA-PBE) of a relaxed structure of LaGe12Ir4.

For the calculated volume, the calculation gives 659 Å³/cell. The total energy is -0.4332 Ry/atom. Its density of states at the Fermi level is 11.8 states/eV/f.u. The value obtained for the energy of formation from the pure elements is -260 meV/atom.

The structure belongs to space group Im-3 (No. 204); the cell edges are 8.703, 8.703 and 8.703 Å and the angles 90.00°, 90.00° and 90.00°. The distinct sites, in fractional coordinates, are La at (0.000, 0.000, 0.000), Ge at (0.000, 0.350, 0.154) and Ir at (0.250, 0.250, 0.250).


# 3
The following is a DFT calculation (GGA-PBE) of a relaxed structure of ErFeGe2.

For the calculated volume, the calculation gives 280 Å³/cell. The total energy is -0.4462 Ry/atom. Its density of states at the Fermi level is 2.6 states/eV/f.u. The value obtained for the energy of formation from the pure elements is -505 meV/atom.

The structure belongs to space group Pnma (No. 62); the cell edges are 6.797, 4.140 and 9.945 Å and the angles 90.00°, 90.00° and 90.00°. The distinct sites, in fractional coordinates, are Er at (0.179, 0.250, 0.128), Fe at (0.021, 0.750, 0.390), Ge at (0.128, 0.250, 0.819) and Ge at (0.185, 0.250, 0.427).


# 4
The following is a DFT calculation (GGA-PBE) of a relaxed structure of ZnCd2As2Pd5.

For the calculated volume, the calculation gives 343 Å³/cell. The total energy is -0.3046 Ry/atom. Its density of states at the Fermi level is 2.3 states/eV/f.u. The value obtained for the energy of formation from the pure elements is -307 meV/atom.

The structure belongs to space group P4/mbm (No. 127); the cell edges are 10.406, 10.406 and 3.166 Å and the angles 90.00°, 90.00° and 90.00°. The distinct sites, in fractional coordinates, are Zn at (0.000, 0.000, 0.000), Cd at (0.174, 0.326, 0.000), As at (0.141, 0.641, 0.000), Pd at (0.000, 0.500, 0.500) and Pd at (0.017, 0.799, 0.500).